[1]
{"formula": "NaPPd6", "functional": "PBE", "state": "optimized geometry", "lattice": [[5.851, 0.000, 0.000], [2.925, 5.067, 0.000], [2.925, 1.689, 5.127]], "species": ["Na", "Pd", "Pd", "Pd", "Pd", "Pd", "Pd", "P"], "fractional_positions": [[0.500, 0.500, 0.500], [0.440, 0.902, 0.756], [0.098, 0.098, 0.244], [0.902, 0.902, 0.756], [0.560, 0.098, 0.244], [0.902, 0.440, 0.756], [0.098, 0.560, 0.244], [0.000, 0.000, 0.000]], "final_energy_ev_per_atom": -4.85, "space_group": "R-3m, No. 166", "formation_enthalpy_0k_ev_per_atom": -0.111}

***

[2]
{"formula": "NaP12Pd4", "functional": "PBE", "state": "optimized geometry", "lattice": [[6.750, 0.000, -2.386], [-3.375, 5.846, -2.387], [0.000, 0.000, 7.160]], "species": ["P", "P", "P", "P", "P", "P", "P", "P", "P", "P", "P", "P", "Pd", "Pd", "Pd", "Pd", "Na"], "fractional_positions": [[0.366, 0.500, 0.135], [0.865, 0.366, 0.231], [0.366, 0.231, 0.865], [0.634, 0.500, 0.865], [0.135, 0.366, 0.500], [0.231, 0.865, 0.366], [0.634, 0.769, 0.135], [0.500, 0.865, 0.634], [0.135, 0.634, 0.769], [0.865, 0.634, 0.500], [0.769, 0.135, 0.634], [0.500, 0.135, 0.366], [0.500, 0.500, 0.500], [0.500, 0.000, 0.000], [0.000, 0.000, 0.500], [0.000, 0.500, 0.000], [0.000, 0.000, 0.000]], "final_energy_ev_per_atom": -5.40, "space_group": "Im-3, No. 204", "formation_enthalpy_0k_ev_per_atom": -0.279}

***

[3]
{"formula": "NaPPd", "functional": "PBE", "state": "optimized geometry", "lattice": [[4.339, 0.000, 0.000], [0.000, 4.009, 0.000], [0.000, -2.004, 3.472]], "species": ["Pd", "Na", "P"], "fractional_positions": [[0.167, 0.333, 0.667], [0.666, 0.667, 0.333], [0.167, 0.000, 0.000]], "final_energy_ev_per_atom": -4.35, "space_group": "P-6m2, No. 187", "formation_enthalpy_0k_ev_per_atom": -0.373}

***

[4]
{"formula": "Na2P2Pd", "functional": "PBE", "state": "optimized geometry", "lattice": [[5.768, 0.000, 0.000], [-2.884, 4.437, 0.317], [0.000, -1.560, 7.419]], "species": ["Pd", "Pd", "P", "P", "P", "P", "Na", "Na", "Na", "Na"], "fractional_positions": [[0.932, 0.000, 0.250], [0.068, 0.000, 0.750], [0.021, 0.717, 0.996], [0.979, 0.283, 0.004], [0.696, 0.717, 0.496], [0.304, 0.283, 0.504], [0.514, 0.298, 0.145], [0.783, 0.298, 0.645], [0.217, 0.702, 0.355], [0.486, 0.702, 0.855]], "final_energy_ev_per_atom": -4.11, "space_group": "C2/c, No. 15", "formation_enthalpy_0k_ev_per_atom": -0.379, "relative_energy_mev_per_atom": 93.3}

***

[5]
{"formula": "NaPPd", "functional": "PBE", "state": "optimized geometry", "lattice": [[-2.741, -1.270, 2.447], [-1.460, -4.374, -3.906], [5.739, 0.382, 3.538]], "species": ["Na", "Na", "P", "P", "Pd", "Pd"], "fractional_positions": [[0.025, 0.188, 0.051], [0.257, 0.051, 0.514], [0.345, 0.643, 0.689], [0.555, 0.599, 0.110], [0.741, 0.623, 0.482], [0.948, 0.607, 0.895]], "final_energy_ev_per_atom": -4.39, "space_group": "Cm, No. 8", "formation_enthalpy_0k_ev_per_atom": -0.419}

***

[6]
{"formula": "NaPPd2", "functional": "PBE", "state": "optimized geometry", "lattice": [[4.179, 0.000, 0.000], [2.090, 3.620, 0.000], [2.090, 1.207, 5.114]], "species": ["Pd", "Pd", "P", "Na"], "fractional_positions": [[0.202, 0.202, 0.394], [0.798, 0.798, 0.606], [0.500, 0.500, 0.500], [0.000, 0.000, 0.000]], "final_energy_ev_per_atom": -4.61, "space_group": "R-3m, No. 166", "formation_enthalpy_0k_ev_per_atom": -0.332}

***

[7]
{"formula": "NaP4Pd12", "functional": "PBE", "state": "optimized geometry", "lattice": [[-4.855, 4.254, 3.218], [0.466, -6.248, 3.573], [6.434, 3.260, 0.009]], "species": ["Pd", "Pd", "Pd", "Pd", "Pd", "Pd", "Pd", "Pd", "Pd", "Pd", "Pd", "Pd", "P", "P", "P", "P", "Na"], "fractional_positions": [[0.510, 0.174, 0.336], [0.174, 0.336, 0.510], [0.664, 0.838, 0.174], [0.336, 0.162, 0.826], [0.826, 0.664, 0.490], [0.838, 0.174, 0.664], [0.826, 0.336, 0.162], [0.664, 0.490, 0.826], [0.174, 0.664, 0.838], [0.336, 0.510, 0.174], [0.490, 0.826, 0.664], [0.162, 0.826, 0.336], [0.500, 0.500, 0.500], [0.000, 0.500, 0.000], [0.500, 0.000, 0.000], [0.000, 0.000, 0.500], [0.000, 0.000, 0.000]], "final_energy_ev_per_atom": -5.37, "space_group": "Im-3, No. 204", "formation_enthalpy_0k_ev_per_atom": -0.352}

***

[8]
{"formula": "NaP2Pd3", "functional": "PBE", "state": "optimized geometry", "lattice": [[5.546, 0.000, 0.000], [0.000, 6.057, -1.839], [0.000, 0.240, 6.361]], "species": ["Pd", "Pd", "Pd", "Pd", "Pd", "Pd", "Na", "Na", "P", "P", "P", "P"], "fractional_positions": [[0.250, 0.537, 0.037], [0.250, 0.566, 0.493], [0.750, 0.434, 0.507], [0.750, 0.463, 0.963], [0.250, 0.996, 0.065], [0.750, 0.004, 0.935], [0.250, 0.143, 0.643], [0.750, 0.857, 0.357], [0.001, 0.697, 0.801], [0.501, 0.303, 0.199], [0.999, 0.303, 0.199], [0.499, 0.697, 0.801]], "final_energy_ev_per_atom": -5.02, "space_group": "P2_1/m, No. 11", "formation_enthalpy_0k_ev_per_atom": -0.401}

***

[9]
{"formula": "Na3PPd", "functional": "PBE", "state": "optimized geometry", "lattice": [[5.316, 0.000, 0.000], [0.000, 5.316, 0.000], [0.000, 0.000, 5.316]], "species": ["Na", "Na", "Na", "Pd", "P"], "fractional_positions": [[0.500, 0.000, 0.000], [0.000, 0.000, 0.500], [0.000, 0.500, 0.000], [0.000, 0.000, 0.000], [0.500, 0.500, 0.500]], "final_energy_ev_per_atom": -2.46, "space_group": "Pm-3m, No. 221", "formation_enthalpy_0k_ev_per_atom": 0.447, "relative_energy_mev_per_atom": 663.3}

***

[10]
{"formula": "Na2PPd4", "functional": "PBE", "state": "optimized geometry", "lattice": [[-3.254, 1.531, 2.753], [1.834, -2.297, 3.446], [3.354, 5.316, 4.734]], "species": ["Pd", "Pd", "Pd", "Pd", "Na", "Na", "P"], "fractional_positions": [[0.155, 0.155, 0.690], [0.845, 0.845, 0.310], [0.000, 0.500, 0.000], [0.500, 0.000, 0.000], [0.642, 0.642, 0.716], [0.358, 0.358, 0.284], [0.000, 0.000, 0.000]], "final_energy_ev_per_atom": -4.23, "space_group": "I4/mmm, No. 139", "formation_enthalpy_0k_ev_per_atom": -0.111}

***

[11]
{"formula": "Na2PPd", "functional": "PBE", "state": "optimized geometry", "lattice": [[3.879, 0.000, 0.000], [0.000, 3.879, 0.000], [1.939, 1.939, 9.896]], "species": ["Na", "Na", "Na", "Na", "Pd", "Pd", "P", "P"], "fractional_positions": [[0.130, 0.625, 0.250], [0.620, 0.125, 0.250], [0.375, 0.380, 0.750], [0.875, 0.870, 0.750], [0.750, 0.250, 0.500], [0.000, 0.000, 0.000], [0.250, 0.750, 0.500], [0.500, 0.500, 0.000]], "final_energy_ev_per_atom": -3.29, "space_group": "I-42d, No. 122", "formation_enthalpy_0k_ev_per_atom": 0.019}

***

[12]
{"formula": "Na3P2Pd3", "functional": "PBE", "state": "optimized geometry", "lattice": [[-0.734, 5.305, -1.675], [-5.064, 1.083, 5.649], [10.696, 4.251, 8.773]], "species": ["Na", "Na", "Na", "Na", "Na", "Na", "Na", "Na", "Na", "Na", "Na", "Na", "Pd", "Pd", "Pd", "Pd", "Pd", "Pd", "Pd", "Pd", "Pd", "Pd", "Pd", "Pd", "P", "P", "P", "P", "P", "P", "P", "P"], "fractional_positions": [[0.885, 0.520, 0.612], [0.446, 0.690, 0.750], [0.554, 0.310, 0.250], [0.615, 0.020, 0.612], [0.885, 0.520, 0.888], [0.115, 0.480, 0.388], [0.054, 0.190, 0.750], [0.946, 0.810, 0.250], [0.385, 0.980, 0.388], [0.385, 0.980, 0.112], [0.615, 0.020, 0.888], [0.115, 0.480, 0.112], [0.883, 0.855, 0.462], [0.522, 0.331, 0.750], [0.383, 0.645, 0.538], [0.117, 0.145, 0.962], [0.117, 0.145, 0.538], [0.617, 0.355, 0.038], [0.617, 0.355, 0.462], [0.383, 0.645, 0.962], [0.478, 0.669, 0.250], [0.978, 0.831, 0.750], [0.022, 0.169, 0.250], [0.883, 0.855, 0.038], [0.618, 0.643, 0.100], [0.882, 0.143, 0.400], [0.382, 0.357, 0.600], [0.118, 0.857, 0.600], [0.618, 0.643, 0.400], [0.382, 0.357, 0.900], [0.118, 0.857, 0.900], [0.882, 0.143, 0.100]], "final_energy_ev_per_atom": -4.28, "space_group": "Pnma, No. 62", "formation_enthalpy_0k_ev_per_atom": -0.482, "relative_energy_mev_per_atom": 0.0}